[1]
CdSb: relaxed, PBE-GGA.

Lattice parameters (Å, degrees): 6.882 6.882 6.882 153.07 133.12 54.90
Fractional coordinates of all 4 atoms:
1 Cd 0.124 0.124 0.000
2 Cd 0.876 0.876 0.000
3 Sb 0.378 0.378 0.000
4 Sb 0.622 0.622 0.000

[2]
CdSb3: relaxed, PBE-GGA.

Lattice parameters (Å, degrees): 4.234 6.092 4.568 90.00 90.00 90.00
Fractional coordinates of all 4 atoms:
1 Cd 0.000 0.000 0.000
2 Sb 0.000 0.500 0.057
3 Sb 0.500 0.000 0.510
4 Sb 0.500 0.500 0.490

[3]
CdSb3: relaxed, PBE-GGA.

Lattice parameters (Å, degrees): 6.694 6.694 5.505 90.00 90.00 120.00
Fractional coordinates of all 8 atoms:
1 Cd 0.333 0.667 0.250
2 Cd 0.667 0.333 0.750
3 Sb 0.170 0.341 0.750
4 Sb 0.170 0.830 0.750
5 Sb 0.341 0.170 0.250
6 Sb 0.659 0.830 0.750
7 Sb 0.830 0.170 0.250
8 Sb 0.830 0.659 0.250

[4]
CdSb: relaxed, PBE-GGA.

Lattice parameters (Å, degrees): 3.313 3.313 5.430 90.00 90.00 120.00
Fractional coordinates of all 2 atoms:
1 Cd 0.000 0.000 0.000
2 Sb 0.667 0.333 0.500

[5]
Cd5Sb: relaxed, PBE-GGA.

Lattice parameters (Å, degrees): 5.426 5.426 5.750 90.00 90.00 120.00
Fractional coordinates of all 6 atoms:
1 Cd 0.000 0.669 0.000
2 Cd 0.331 0.331 0.000
3 Cd 0.333 0.667 0.500
4 Cd 0.667 0.333 0.500
5 Cd 0.669 0.000 0.000
6 Sb 0.000 0.000 0.500

[6]
CdSb: relaxed, PBE-GGA.

Lattice parameters (Å, degrees): 3.058 3.334 5.379 90.00 90.00 90.00
Fractional coordinates of all 2 atoms:
1 Cd 0.000 0.000 0.000
2 Sb 0.000 0.500 0.500

no.,calculated volume (Å³/f.u.),formation energy (no corrections) (kJ per mole of atoms)
1,53.6,7.1
2,117.8,5.4
3,106.8,20.2
4,51.6,15.4
5,146.6,7.1
6,54.8,10.7